(1)
# TaPI3 PBE-GGA relaxed
data_TaPI3
_cell_length_a 5.575
_cell_length_b 5.575
_cell_length_c 5.575
_cell_angle_alpha 90.00
_cell_angle_beta 90.00
_cell_angle_gamma 90.00
_symmetry_space_group_name_H-M 'P 1'
_symmetry_Int_Tables_number 1
_symmetry_space_group_name_Hall 'P 1'
loop_
_atom_site_label
_atom_site_fract_x
_atom_site_fract_y
_atom_site_fract_z
Ta1 0.000 0.000 0.000
P1 0.500 0.500 0.500
I1 0.000 0.000 0.500
I2 0.000 0.500 0.000
I3 0.500 0.000 0.000
# energy relative to the elements, uncorrected	730	meV per atom

***

(2)
# Np2Co3As4Ru PBE-GGA relaxed
data_Np2Co3As4Ru
_cell_length_a 4.136
_cell_length_b 4.136
_cell_length_c 9.430
_cell_angle_alpha 90.00
_cell_angle_beta 90.00
_cell_angle_gamma 90.00
_symmetry_space_group_name_H-M 'P 1'
_symmetry_Int_Tables_number 1
_symmetry_space_group_name_Hall 'P 1'
loop_
_atom_site_label
_atom_site_fract_x
_atom_site_fract_y
_atom_site_fract_z
Np1 0.000 0.500 0.245
Np2 0.500 0.000 0.755
Co1 0.000 0.500 0.886
Co2 0.500 0.000 0.114
Co3 0.500 0.500 0.500
As1 0.000 0.000 0.000
As2 0.000 0.500 0.643
As3 0.500 0.000 0.357
As4 0.500 0.500 0.000
Ru1 0.000 0.000 0.500
# formation energy from the elements	-440	meV per atom

***

(3)
# BaMgTl3 PBE-GGA relaxed
data_BaMgTl3
_cell_length_a 5.577
_cell_length_b 5.577
_cell_length_c 5.577
_cell_angle_alpha 90.00
_cell_angle_beta 90.00
_cell_angle_gamma 90.00
_symmetry_space_group_name_H-M 'P 1'
_symmetry_Int_Tables_number 1
_symmetry_space_group_name_Hall 'P 1'
loop_
_atom_site_label
_atom_site_fract_x
_atom_site_fract_y
_atom_site_fract_z
Ba1 0.000 0.000 0.000
Mg1 0.500 0.500 0.500
Tl1 0.000 0.500 0.500
Tl2 0.500 0.000 0.500
Tl3 0.500 0.500 0.000
# formation energy from the elements	-97	meV per atom

***

(4)
# Cs2BeSbPb PBE-GGA relaxed
data_Cs2BeSbPb
_cell_length_a 7.164
_cell_length_b 7.164
_cell_length_c 4.474
_cell_angle_alpha 90.00
_cell_angle_beta 90.00
_cell_angle_gamma 90.00
_symmetry_space_group_name_H-M 'P 1'
_symmetry_Int_Tables_number 1
_symmetry_space_group_name_Hall 'P 1'
loop_
_atom_site_label
_atom_site_fract_x
_atom_site_fract_y
_atom_site_fract_z
Cs1 0.000 0.500 0.000
Cs2 0.500 0.000 0.000
Be1 0.000 0.000 0.000
Sb1 0.500 0.500 0.500
Pb1 0.000 0.000 0.500
# energy relative to the elements, uncorrected	365	meV per atom